# 1
The following is a PBE calculation of an optimized crystal structure of Be2SiP, from Alexandria via LeMat-Bulk.

The crystal system is orthorhombic. The calculation puts the uncorrected formation energy at 0.37 eV/atom.

Unit cell a=3.395 b=3.482 c=8.310 alpha=90.00 beta=90.00 gamma=90.00
Space group Cmm2 (No. 35)
Inequivalent atoms, fractional coordinates:
Be1 0.000 0.000 0.000
Be2 0.000 0.500 0.182
Si1 0.000 0.000 0.416
P1 0.000 0.500 0.782

# 2
The following is a PBE calculation of an optimized crystal structure of Be2SiP, from Alexandria via LeMat-Bulk.

The crystal system is cubic. The calculation puts the uncorrected formation energy at 0.57 eV/atom.

Unit cell a=5.707 b=5.707 c=5.707 alpha=90.00 beta=90.00 gamma=90.00
Space group Fm-3m (No. 225)
Inequivalent atoms, fractional coordinates:
Be1 0.250 0.250 0.250
Si1 0.000 0.000 0.000
P1 0.000 0.000 0.500

no.,energy above the most stable polymorph in this dataset (eV per formula unit)
1,1.371
2,2.164